The following is a DFT calculation (GGA-PBE) of Cs2BH after structural relaxation.

Structure (CIF):
```
data_Cs2BH
_space_group_name_H-M_alt 'F m -3 m'
_space_group_IT_number 225
_space_group_name_Hall '-F 4 2 3'
_cell_length_a 7.972
_cell_length_b 7.972
_cell_length_c 7.972
_cell_angle_alpha 90.00
_cell_angle_beta 90.00
_cell_angle_gamma 90.00
loop_
_atom_site_label
_atom_site_fract_x
_atom_site_fract_y
_atom_site_fract_z
Cs1 0.250 0.250 0.250
B1 0.000 0.000 0.000
H1 0.000 0.000 0.500
```

Summary:
Offset from the most stable computed form   18 meV/atom

The following is a DFT calculation (GGA-PBE) of CsBH2 after structural relaxation.

Structure (CIF):
```
data_CsBH2
_space_group_name_H-M_alt 'I 41/a m d'
_space_group_IT_number 141
_cell_length_a 5.053
_cell_length_b 5.053
_cell_length_c 8.938
_cell_angle_alpha 90.00
_cell_angle_beta 90.00
_cell_angle_gamma 90.00
loop_
_space_group_symop_operation_xyz
'x,y,z'
'-x,-y,-z'
'-y+1/4,x+3/4,z+1/4'
'y+1/4,-x+3/4,-z+1/4'
'-x+1/2,-y,z+1/2'
'x+1/2,y,-z+1/2'
'y+1/4,-x+1/4,z+3/4'
'-y+1/4,x+1/4,-z+3/4'
'x,-y,-z'
'-x,y,z'
'-y+1/4,-x+1/4,-z+3/4'
'y+1/4,x+1/4,z+3/4'
'-x+1/2,y,-z+1/2'
'x+1/2,-y,z+1/2'
'y+1/4,x+3/4,-z+1/4'
'-y+1/4,-x+3/4,z+1/4'
'x+1/2,y+1/2,z+1/2'
'-x+1/2,-y+1/2,-z+1/2'
'-y+3/4,x+1/4,z+3/4'
'y+3/4,-x+1/4,-z+3/4'
'-x,-y+1/2,z'
'x,y+1/2,-z'
'y+3/4,-x+3/4,z+1/4'
'-y+3/4,x+3/4,-z+1/4'
'x+1/2,-y+1/2,-z+1/2'
'-x+1/2,y+1/2,z+1/2'
'-y+3/4,-x+3/4,-z+1/4'
'y+3/4,x+3/4,z+1/4'
'-x,y+1/2,-z'
'x,-y+1/2,z'
'y+3/4,x+1/4,-z+3/4'
'-y+3/4,-x+1/4,z+3/4'
loop_
_atom_site_label
_atom_site_fract_x
_atom_site_fract_y
_atom_site_fract_z
Cs1 0.000 0.250 0.375
B1 0.000 0.250 0.875
H1 0.000 0.000 0.000
```

Summary:
Offset from the most stable computed form   0 meV/atom

The following is a DFT calculation (GGA-PBE) of CsB3H12 after structural relaxation.

Structure (CIF):
```
data_CsB3H12
_space_group_name_H-M_alt 'R 3 c'
_space_group_IT_number 161
_space_group_name_Hall 'R 3 -2"c'
_cell_length_a 7.4046
_cell_length_b 7.4046
_cell_length_c 24.3133
_cell_angle_alpha 90.00
_cell_angle_beta 90.00
_cell_angle_gamma 120.00
loop_
_atom_site_label
_atom_site_fract_x
_atom_site_fract_y
_atom_site_fract_z
Cs1 0.0000 0.0000 0.0000
B1 0.1469 0.3611 0.2966
H1 0.0055 0.4253 0.0103
H2 0.0305 0.3600 0.2614
H3 0.0343 0.2866 0.7795
H4 0.1290 0.0042 0.1320
```

Summary:
Uncorrected energy   -3.7316 eV per atom

The following is a DFT calculation (GGA-PBE) of CsBH4 after structural relaxation.

Structure (CIF):
```
data_CsBH4
_space_group_name_H-M_alt 'C m c m'
_space_group_IT_number 63
_space_group_name_Hall '-C 2c 2'
_cell_length_a 3.394
_cell_length_b 13.591
_cell_length_c 5.929
_cell_angle_alpha 90.00
_cell_angle_beta 90.00
_cell_angle_gamma 90.00
loop_
_atom_site_label
_atom_site_fract_x
_atom_site_fract_y
_atom_site_fract_z
Cs1 0.000 0.126 0.250
B1 0.000 0.404 0.250
H1 0.000 0.081 0.750
H2 0.000 0.347 0.090
H3 0.000 0.500 0.000
```

Summary:
Uncorrected energy   -3.2520 eV per atom

The following is a DFT calculation (GGA-PBE) of Cs2B2H7 after structural relaxation.

Structure (CIF):
```
data_Cs2B2H7
_space_group_name_H-M_alt 'C 1 2/m 1'
_space_group_IT_number 12
_cell_length_a 8.278
_cell_length_b 9.024
_cell_length_c 4.420
_cell_angle_alpha 90.00
_cell_angle_beta 93.32
_cell_angle_gamma 90.00
loop_
_space_group_symop_operation_xyz
'x,y,z'
'-x,-y,-z'
'-x,y,-z'
'x,-y,z'
'x+1/2,y+1/2,z'
'-x+1/2,-y+1/2,-z'
'-x+1/2,y+1/2,-z'
'x+1/2,-y+1/2,z'
loop_
_atom_site_label
_atom_site_fract_x
_atom_site_fract_y
_atom_site_fract_z
Cs1 0.000 0.239 0.000
B1 0.187 0.500 0.567
H1 0.000 0.500 0.500
H2 0.208 0.500 0.844
H3 0.235 0.386 0.451
```

Summary:
Uncorrected energy   -3.7079 eV per atom

The following is a DFT calculation (GGA-PBE) of CsB3H8 after structural relaxation.

Structure (CIF):
```
data_CsB3H8
_space_group_name_H-M_alt 'C m c m'
_space_group_IT_number 63
_space_group_name_Hall '-C 2c 2'
_cell_length_a 7.423
_cell_length_b 8.639
_cell_length_c 8.845
_cell_angle_alpha 90.00
_cell_angle_beta 90.00
_cell_angle_gamma 90.00
loop_
_atom_site_label
_atom_site_fract_x
_atom_site_fract_y
_atom_site_fract_z
Cs1 0.000 0.178 0.250
B1 0.000 0.222 0.649
B2 0.000 0.399 0.750
H1 0.000 0.355 0.589
H2 0.136 0.475 0.750
H3 0.138 0.164 0.601
```

Summary:
Uncorrected energy   -4.2457 eV per atom

The following is a DFT calculation (GGA-PBE) of Cs3B2H8 after structural relaxation.

Structure (CIF):
```
data_Cs3B2H8
_space_group_name_H-M_alt 'R -3 m'
_space_group_IT_number 166
_space_group_name_Hall '-R 3 2"'
_cell_length_a 5.1929
_cell_length_b 5.1929
_cell_length_c 39.7665
_cell_angle_alpha 90.00
_cell_angle_beta 90.00
_cell_angle_gamma 120.00
loop_
_atom_site_label
_atom_site_fract_x
_atom_site_fract_y
_atom_site_fract_z
Cs1 0.0000 0.0000 0.0000
Cs2 0.0000 0.0000 0.2249
B1 0.0000 0.0000 0.3868
H1 0.0000 0.0000 0.3558
H2 0.0749 0.5375 0.2695
```

Summary:
Uncorrected energy   -3.6716 eV per atom

The following is a DFT calculation (GGA-PBE) of Cs2BH after structural relaxation.

Structure (CIF):
```
data_Cs2BH
_space_group_name_H-M_alt 'I -4 2 d'
_space_group_IT_number 122
_space_group_name_Hall 'I -4 2bw'
_cell_length_a 8.371
_cell_length_b 8.371
_cell_length_c 9.618
_cell_angle_alpha 90.00
_cell_angle_beta 90.00
_cell_angle_gamma 90.00
loop_
_atom_site_label
_atom_site_fract_x
_atom_site_fract_y
_atom_site_fract_z
Cs1 0.201 0.250 0.125
B1 0.000 0.000 0.500
H1 0.000 0.000 0.000
```

Summary:
Offset from the most stable computed form   0 meV/atom

The following is a DFT calculation (GGA-PBE) of CsB6H6 after structural relaxation.

Structure (CIF):
```
data_CsB6H6
_space_group_name_H-M_alt 'F m -3'
_space_group_IT_number 202
_space_group_name_Hall '-F 2 2 3'
_cell_length_a 11.307
_cell_length_b 11.307
_cell_length_c 11.307
_cell_angle_alpha 90.00
_cell_angle_beta 90.00
_cell_angle_gamma 90.00
loop_
_atom_site_label
_atom_site_fract_x
_atom_site_fract_y
_atom_site_fract_z
Cs1 0.250 0.250 0.250
B1 0.000 0.127 0.079
H1 0.000 0.218 0.134
```

Summary:
Uncorrected energy   -5.1041 eV per atom

The following is a DFT calculation (GGA-PBE) of CsB3H3 after structural relaxation.

Structure (CIF):
```
data_CsB3H3
_space_group_name_H-M_alt 'F m -3 m'
_space_group_IT_number 225
_space_group_name_Hall '-F 4 2 3'
_cell_length_a 9.635
_cell_length_b 9.635
_cell_length_c 9.635
_cell_angle_alpha 90.00
_cell_angle_beta 90.00
_cell_angle_gamma 90.00
loop_
_atom_site_label
_atom_site_fract_x
_atom_site_fract_y
_atom_site_fract_z
Cs1 0.250 0.250 0.250
B1 0.000 0.000 0.127
H1 0.000 0.000 0.253
```

Summary:
Uncorrected energy   -4.7511 eV per atom

The following is a DFT calculation (GGA-PBE) of CsB2H6 after structural relaxation.

Structure (CIF):
```
data_CsB2H6
_space_group_name_H-M_alt 'C 1 2/m 1'
_space_group_IT_number 12
_cell_length_a 4.607
_cell_length_b 9.282
_cell_length_c 5.048
_cell_angle_alpha 90.00
_cell_angle_beta 90.32
_cell_angle_gamma 90.00
loop_
_space_group_symop_operation_xyz
'x,y,z'
'-x,-y,-z'
'-x,y,-z'
'x,-y,z'
'x+1/2,y+1/2,z'
'-x+1/2,-y+1/2,-z'
'-x+1/2,y+1/2,-z'
'x+1/2,-y+1/2,z'
loop_
_atom_site_label
_atom_site_fract_x
_atom_site_fract_y
_atom_site_fract_z
Cs1 0.000 0.000 0.000
B1 0.000 0.279 0.500
H1 0.000 0.149 0.500
H2 0.001 0.344 0.708
```

Summary:
Offset from the most stable computed form   0 meV/atom

The following is a DFT calculation (GGA-PBE) of CsB2H7 after structural relaxation.

Structure (CIF):
```
data_CsB2H7
_space_group_name_H-M_alt 'C m m m'
_space_group_IT_number 65
_space_group_name_Hall '-C 2 2'
_cell_length_a 5.450
_cell_length_b 12.460
_cell_length_c 3.302
_cell_angle_alpha 90.00
_cell_angle_beta 90.00
_cell_angle_gamma 90.00
loop_
_atom_site_label
_atom_site_fract_x
_atom_site_fract_y
_atom_site_fract_z
Cs1 0.000 0.000 0.000
B1 0.000 0.391 0.500
H1 0.000 0.406 0.000
H2 0.000 0.500 0.500
H3 0.196 0.346 0.500
```

Summary:
Uncorrected energy   -3.6805 eV per atom

Question: What is the formula in the fifth record?
Answer: Cs2B2H7